1.
Below is La2ZnIrPb after structural relaxation, with properties calculated at the GGA-PBE level.

POSCAR file:
```
La2ZnIrPb
1.0
-2.404 3.701 0.760
-3.001 -3.246 6.311
6.762 3.942 2.200
La Zn Ir Pb
4 2 2 2
direct
0.750 0.872 0.668
0.750 0.717 0.037
0.250 0.128 0.332
0.250 0.283 0.963
0.250 0.560 0.676
0.750 0.440 0.324
0.250 0.877 0.905
0.750 0.123 0.095
0.250 0.677 0.344
0.750 0.323 0.656
```

* DFT formation energy: -0.598 eV/atom
* polymorph energy (0 for the lowest one): 0.0 meV per atom
* V: 26.70 A^3/atom
* space-group type: P2_1/m
* M_tot: 0.0 μB per formula unit

=====

2.
Below is La4Ir2Pd after structural relaxation, with properties calculated at the GGA-PBE level.

POSCAR file:
```
La4Ir2Pd
1.0
-2.590 -1.917 -2.976
6.033 -2.511 -3.631
-1.855 -3.055 6.814
La Ir Pd
4 2 1
direct
0.142 0.489 0.283
0.858 0.511 0.717
0.372 0.056 0.745
0.628 0.944 0.255
0.235 0.234 0.470
0.765 0.766 0.530
0.000 0.000 0.000
```

* DFT formation energy: -0.715 eV/atom
* V: 29.67 A^3/atom
* space-group type: C2/m
* M_tot: 0.0 μB per formula unit

=====

3.
Below is La2IrPd after structural relaxation, with properties calculated at the GGA-PBE level.

POSCAR file:
```
La2IrPd
1.0
1.028 -4.884 1.197
-2.503 -2.278 3.859
-3.453 -3.666 -0.990
Ir Pd La
1 1 2
direct
0.500 0.500 0.500
0.000 0.000 0.000
0.250 0.250 0.250
0.750 0.750 0.750
```

* DFT formation energy: -0.726 eV/atom
* polymorph energy (0 for the lowest one): 83.1 meV per atom
* V: 23.90 A^3/atom
* space-group type: Fm-3m
* M_tot: 0.0 μB per formula unit

=====

4.
Below is La4IrPd after structural relaxation, with properties calculated at the GGA-PBE level.

POSCAR file:
```
La4IrPd
1.0
6.360 0.000 -1.731
0.000 7.087 0.000
-1.924 0.000 8.493
La Ir Pd
8 2 2
direct
0.321 0.250 0.385
0.679 0.750 0.615
0.835 0.250 0.895
0.165 0.750 0.105
0.735 0.998 0.239
0.265 0.498 0.761
0.735 0.502 0.239
0.265 0.002 0.761
0.320 0.250 0.061
0.680 0.750 0.939
0.832 0.250 0.556
0.168 0.750 0.444
```

* DFT formation energy: -0.574 eV/atom
* polymorph energy (0 for the lowest one): 0.0 meV per atom
* V: 29.93 A^3/atom
* space-group type: P2_1/m
* M_tot: 0.0 μB per formula unit

=====

5.
Below is La2IrPd after structural relaxation, with properties calculated at the GGA-PBE level.

POSCAR file:
```
La2IrPd
1.0
4.379 0.000 0.000
0.000 6.040 0.096
0.000 -2.887 7.508
La Ir Pd
4 2 2
direct
0.750 0.223 0.440
0.250 0.777 0.560
0.250 0.768 0.077
0.750 0.232 0.923
0.750 0.681 0.292
0.250 0.319 0.708
0.250 0.321 0.205
0.750 0.679 0.795
```

* DFT formation energy: -0.809 eV/atom
* polymorph energy (0 for the lowest one): 0.0 meV per atom
* V: 24.97 A^3/atom
* space-group type: P2_1/m
* M_tot: 0.0 μB per formula unit

=====

6.
Below is La2IrPd after structural relaxation, with properties calculated at the GGA-PBE level.

POSCAR file:
```
La2IrPd
1.0
4.185 0.000 0.000
2.092 3.624 0.000
2.092 1.208 7.179
La Ir Pd
2 1 1
direct
0.075 0.075 0.775
0.257 0.257 0.228
0.665 0.665 0.004
0.502 0.502 0.493
```

* DFT formation energy: -0.680 eV/atom
* polymorph energy (0 for the lowest one): 128.9 meV per atom
* V: 27.22 A^3/atom
* space-group type: R3m
* M_tot: 0.0 μB per formula unit

=====

7.
Below is La8Ir5Pd after structural relaxation, with properties calculated at the GGA-PBE level.

POSCAR file:
```
La8Ir5Pd
1.0
-0.218 -7.542 -2.073
7.457 2.278 0.657
-3.611 0.987 6.871
La Ir Pd
8 5 1
direct
0.121 0.754 0.996
0.004 0.125 0.758
0.736 0.247 0.371
0.629 0.365 0.875
0.510 0.635 0.264
0.633 0.875 0.879
0.242 0.246 0.367
0.125 0.753 0.490
0.006 0.377 0.125
0.875 0.881 0.252
0.748 0.623 0.629
0.500 0.000 0.500
0.371 0.119 0.994
0.250 0.500 0.750
```

* DFT formation energy: -0.728 eV/atom
* V: 26.35 A^3/atom
* space-group type: I-4
* M_tot: 0.0 μB per formula unit

=====

8.
Below is La7Ir4Pd after structural relaxation, with properties calculated at the GGA-PBE level.

POSCAR file:
```
La7Ir4Pd
1.0
4.098 0.000 0.000
-2.049 6.694 -1.766
0.000 0.005 12.475
La Ir Pd
7 4 1
direct
0.737 0.473 0.354
0.253 0.507 0.645
0.347 0.693 0.951
0.656 0.312 0.050
0.044 0.088 0.790
0.957 0.915 0.214
0.507 0.013 0.498
0.695 0.389 0.806
0.303 0.606 0.188
0.001 0.002 0.000
0.117 0.235 0.426
0.884 0.767 0.577
```

* DFT formation energy: -0.690 eV/atom
* V: 28.52 A^3/atom
* space-group type: Cm
* M_tot: 0.0 μB per formula unit

=====

9.
Below is La8Ir3Pd2 after structural relaxation, with properties calculated at the GGA-PBE level.

POSCAR file:
```
La8Ir3Pd2
1.0
-5.784 1.541 6.140
6.870 -4.841 1.700
6.825 10.975 3.676
La Ir Pd
16 6 4
direct
0.837 0.163 0.150
0.673 0.837 0.650
0.163 0.327 0.650
0.837 0.673 0.150
0.327 0.163 0.150
0.163 0.837 0.650
0.511 0.489 0.880
0.022 0.511 0.380
0.489 0.978 0.380
0.511 0.022 0.880
0.000 0.000 0.372
0.000 0.000 0.872
0.333 0.667 0.148
0.978 0.489 0.880
0.489 0.511 0.380
0.667 0.333 0.648
0.665 0.833 0.262
0.833 0.167 0.762
0.167 0.335 0.262
0.833 0.665 0.762
0.335 0.167 0.762
0.167 0.833 0.262
0.667 0.333 0.028
0.333 0.667 0.528
0.667 0.333 0.271
0.333 0.667 0.771
```

* DFT formation energy: -0.660 eV/atom
* V: 32.91 A^3/atom
* space-group type: P6_3mc
* M_tot: 0.0 μB per formula unit

=====

10.
Below is La12Ir5Pd2 after structural relaxation, with properties calculated at the GGA-PBE level.

POSCAR file:
```
La12Ir5Pd2
1.0
-3.987 6.283 -2.513
4.407 -4.522 -6.025
-8.776 -4.975 1.483
La Ir Pd
12 5 2
direct
0.913 0.825 0.185
0.066 0.622 0.853
0.556 0.622 0.853
0.116 0.735 0.489
0.619 0.735 0.489
0.526 0.051 0.819
0.474 0.949 0.181
0.884 0.265 0.511
0.381 0.265 0.511
0.934 0.378 0.147
0.444 0.378 0.147
0.087 0.175 0.815
0.298 0.596 0.630
0.282 0.564 0.042
0.000 0.000 0.500
0.718 0.436 0.958
0.702 0.404 0.370
0.807 0.000 0.000
0.193 0.000 0.000
```

* DFT formation energy: -0.586 eV/atom
* V: 31.17 A^3/atom
* space-group type: C2/m
* M_tot: 0.0 μB per formula unit

=====

11.
Below is La2IrPd after structural relaxation, with properties calculated at the GGA-PBE level.

POSCAR file:
```
La2IrPd
1.0
-5.612 -4.757 -2.597
2.243 -5.442 5.122
-3.772 -3.857 3.496
Ir Pd La
2 2 4
direct
0.000 0.000 0.000
0.750 0.250 0.500
0.500 0.500 0.000
0.250 0.750 0.500
0.638 0.125 0.250
0.112 0.625 0.250
0.375 0.362 0.750
0.875 0.888 0.750
```

* DFT formation energy: -0.467 eV/atom
* polymorph energy (0 for the lowest one): 341.9 meV per atom
* V: 25.11 A^3/atom
* space-group type: I-42d
* M_tot: 0.0 μB per formula unit

=====

12.
Below is La3IrPd after structural relaxation, with properties calculated at the GGA-PBE level.

POSCAR file:
```
La3IrPd
1.0
-4.697 3.577 -1.925
-0.518 -2.188 6.381
3.665 8.140 -2.463
La Ir Pd
6 2 2
direct
0.435 0.815 0.151
0.229 0.339 0.655
0.919 0.769 0.769
0.081 0.231 0.231
0.565 0.185 0.849
0.771 0.661 0.345
0.900 0.682 0.038
0.100 0.318 0.962
0.707 0.209 0.513
0.293 0.791 0.487
```

* DFT formation energy: -0.656 eV/atom
* polymorph energy (0 for the lowest one): 4.2 meV per atom
* V: 29.04 A^3/atom
* space-group type: P-1
* M_tot: 0.0 μB per formula unit

=====

13.
Below is La3IrPd after structural relaxation, with properties calculated at the GGA-PBE level.

POSCAR file:
```
La3IrPd
1.0
5.563 0.000 0.000
0.000 5.563 0.000
0.000 0.000 5.563
Ir Pd La
1 1 3
direct
0.000 0.000 0.000
0.500 0.500 0.500
0.000 0.500 0.000
0.000 0.000 0.500
0.500 0.000 0.000
```

* DFT formation energy: -0.270 eV/atom
* polymorph energy (0 for the lowest one): 389.6 meV per atom
* V: 34.42 A^3/atom
* space-group type: Pm-3m
* M_tot: 0.0 μB per formula unit

=====

14.
Below is La4IrPd2 after structural relaxation, with properties calculated at the GGA-PBE level.

POSCAR file:
```
La4IrPd2
1.0
4.319 0.000 -1.127
-0.814 5.408 -3.118
-0.030 -0.079 8.720
La Ir Pd
4 1 2
direct
0.154 0.504 0.308
0.846 0.496 0.692
0.412 0.100 0.824
0.588 0.900 0.176
0.000 0.000 0.000
0.233 0.140 0.466
0.767 0.860 0.534
```

* DFT formation energy: -0.694 eV/atom
* V: 28.90 A^3/atom
* space-group type: C2/m
* M_tot: 0.0 μB per formula unit

=====

15.
Below is La8IrPd2 after structural relaxation, with properties calculated at the GGA-PBE level.

POSCAR file:
```
La8IrPd2
1.0
-1.027 -3.959 0.138
8.511 -2.118 2.586
-2.671 3.116 8.845
La Ir Pd
8 1 2
direct
0.596 0.533 0.191
0.346 0.020 0.692
0.221 0.337 0.442
0.992 0.788 0.983
0.779 0.663 0.558
0.654 0.980 0.308
0.404 0.467 0.809
0.008 0.212 0.017
0.500 0.000 0.000
0.170 0.740 0.340
0.830 0.260 0.660
```

* DFT formation energy: -0.453 eV/atom
* V: 32.34 A^3/atom
* space-group type: C2/m
* M_tot: 0.0 μB per formula unit

=====

16.
Below is LaIr2Pd2 after structural relaxation, with properties calculated at the GGA-PBE level.

POSCAR file:
```
LaIr2Pd2
1.0
7.852 0.000 0.000
0.000 7.852 0.000
0.000 0.000 2.889
Ir Pd La
4 4 2
direct
0.173 0.673 0.500
0.673 0.827 0.500
0.827 0.327 0.500
0.327 0.173 0.500
0.374 0.874 0.000
0.874 0.626 0.000
0.626 0.126 0.000
0.126 0.374 0.000
0.000 0.000 0.000
0.500 0.500 0.000
```

* DFT formation energy: -0.102 eV/atom
* polymorph energy (0 for the lowest one): 30.0 meV per atom
* V: 17.81 A^3/atom
* space-group type: P4/mbm
* M_tot: 0.0 μB per formula unit

=====

17.
Below is LaIr2Pd2 after structural relaxation, with properties calculated at the GGA-PBE level.

POSCAR file:
```
LaIr2Pd2
1.0
-0.433 -3.770 -0.692
1.314 -0.800 3.537
-5.569 -2.016 3.716
Ir Pd La
2 2 1
direct
0.750 0.250 0.500
0.250 0.750 0.500
0.396 0.396 0.208
0.604 0.604 0.792
0.000 0.000 0.000
```

* DFT formation energy: -0.132 eV/atom
* polymorph energy (0 for the lowest one): 0.0 meV per atom
* V: 19.16 A^3/atom
* space-group type: I4/mmm
* M_tot: 0.0 μB per formula unit

=====

18.
Below is LaIrPd after structural relaxation, with properties calculated at the GGA-PBE level.

POSCAR file:
```
LaIrPd
1.0
5.351 -0.006 -0.763
-2.328 4.819 0.763
-3.209 -1.340 5.136
La Pd Ir
2 2 2
direct
0.234 0.632 0.865
0.766 0.368 0.135
0.000 0.000 0.500
0.500 0.500 0.500
0.263 0.960 0.223
0.737 0.040 0.777
```

* DFT formation energy: -0.446 eV/atom
* polymorph energy (0 for the lowest one): 271.2 meV per atom
* V: 20.61 A^3/atom
* space-group type: C2/m
* M_tot: 0.0 μB per formula unit

=====

19.
Below is LaIrPd after structural relaxation, with properties calculated at the GGA-PBE level.

POSCAR file:
```
LaIrPd
1.0
-3.052 4.581 -0.260
-4.839 0.239 2.630
-0.609 3.162 4.475
La Ir Pd
2 2 2
direct
0.878 0.372 0.372
0.122 0.628 0.628
0.000 0.000 0.000
0.500 0.000 0.000
0.500 0.500 0.000
0.500 0.000 0.500
```

* DFT formation energy: -0.717 eV/atom
* polymorph energy (0 for the lowest one): 0.0 meV per atom
* V: 19.65 A^3/atom
* space-group type: Imma
* M_tot: 0.0 μB per formula unit

=====

20.
Below is La3IrPd after structural relaxation, with properties calculated at the GGA-PBE level.

POSCAR file:
```
La3IrPd
1.0
4.209 0.000 1.075
1.251 10.090 3.879
0.258 1.003 7.771
La Ir Pd
6 2 2
direct
0.030 0.195 0.746
0.970 0.805 0.254
0.643 0.499 0.215
0.357 0.501 0.785
0.689 0.866 0.756
0.311 0.134 0.244
0.164 0.684 0.988
0.836 0.316 0.012
0.334 0.815 0.516
0.666 0.185 0.484
```

* DFT formation energy: -0.660 eV/atom
* polymorph energy (0 for the lowest one): 0.0 meV per atom
* V: 31.22 A^3/atom
* space-group type: C2/m
* M_tot: 0.0 μB per formula unit

=====

21.
Below is La4IrPd after structural relaxation, with properties calculated at the GGA-PBE level.

POSCAR file:
```
La4IrPd
1.0
7.222 -0.425 0.000
-1.696 7.070 0.000
-2.763 -3.323 7.704
La Ir Pd
8 2 2
direct
0.285 0.018 0.580
0.045 0.800 0.087
0.206 0.439 0.420
0.458 0.714 0.913
0.715 0.982 0.420
0.794 0.561 0.580
0.955 0.200 0.913
0.542 0.286 0.087
0.837 0.087 0.174
0.163 0.913 0.826
0.346 0.596 0.191
0.654 0.404 0.809
```

* DFT formation energy: -0.538 eV/atom
* polymorph energy (0 for the lowest one): 35.5 meV per atom
* V: 32.32 A^3/atom
* space-group type: C2/c
* M_tot: 0.0 μB per formula unit

=====

22.
Below is La6IrPd3 after structural relaxation, with properties calculated at the GGA-PBE level.

POSCAR file:
```
La6IrPd3
1.0
-4.601 3.868 3.752
-4.976 -0.040 -6.061
-4.681 -9.079 3.904
La Ir Pd
12 2 6
direct
0.675 0.174 0.925
0.666 0.183 0.581
0.658 0.447 0.255
0.342 0.553 0.745
0.334 0.817 0.419
0.325 0.826 0.075
0.175 0.326 0.425
0.166 0.317 0.081
0.158 0.053 0.755
0.842 0.947 0.245
0.834 0.683 0.919
0.825 0.674 0.575
0.500 0.500 0.500
0.000 0.000 0.000
0.553 0.887 0.755
0.500 0.500 0.000
0.447 0.113 0.245
0.053 0.613 0.255
0.000 0.000 0.500
0.947 0.387 0.745
```

* DFT formation energy: -0.647 eV/atom
* V: 30.38 A^3/atom
* space-group type: P2_1/c
* M_tot: 0.0 μB per formula unit